[1]
A relaxed structure of BaCa3. Source: Alexandria via LeMat-Bulk, functional PBE.

Cell: 7.5030 7.5030 7.5030 Å, 144.75 129.23 63.31°
Closest atoms and distances in Å follow each position.
Fractional coordinates of all 4 atoms:
Ca: 0.2396 0.2396 0.0000  6 Ca 3.81-3.95, 2 Ba 4.03
Ca: 0.7604 0.7604 0.0000  6 Ca 3.81-3.95, 2 Ba 4.03
Ca: 0.0000 0.5000 0.5000  4 Ca 3.81, 4 Ba 3.94
Ba: 0.5000 0.0000 0.5000  8 Ca 3.94-4.03

Values from the calculation:
Formation enthalpy at 0 K: 0.039 eV/atom
Spin magnetization: 0.000 μB per formula unit
Crystal system: orthorhombic


[2]
A relaxed structure of Ba3Ca2. Source: Alexandria via LeMat-Bulk, functional PBE.

Cell: 6.7393 10.3603 16.1683 Å, 90.00 90.00 90.00°
Closest atoms and distances in Å follow each position.
Fractional coordinates of all 20 atoms:
Ba: 0.2500 0.4974 0.5882  2 Ca 3.97-3.98, 4 Ba 4.35-4.41
Ba: 0.2500 0.0026 0.0882  2 Ca 3.97-3.98, 4 Ba 4.35-4.41
Ba: 0.7500 0.5026 0.4118  2 Ca 3.97-3.98, 4 Ba 4.35-4.41
Ba: 0.7500 0.9974 0.9118  2 Ca 3.97-3.98, 4 Ba 4.35-4.41
Ba: 0.7500 0.1926 0.6281  5 Ca 3.99-4.32, 2 Ba 4.22
Ba: 0.7500 0.3074 0.1281  5 Ca 3.99-4.32, 2 Ba 4.22
Ba: 0.2500 0.8074 0.3719  5 Ca 3.99-4.32, 2 Ba 4.22
Ba: 0.2500 0.6926 0.8719  5 Ca 3.99-4.32, 2 Ba 4.22
Ba: 0.2500 0.1737 0.7848  4 Ca 3.87-4.16, 2 Ba 4.22
Ba: 0.2500 0.3263 0.2848  4 Ca 3.87-4.16, 2 Ba 4.22
Ba: 0.7500 0.8263 0.2152  4 Ca 3.87-4.16, 2 Ba 4.22
Ba: 0.7500 0.6737 0.7152  4 Ca 3.87-4.16, 2 Ba 4.22
Ca: 0.2500 0.1430 0.4932  3 Ca 3.62-3.97, 5 Ba 3.87-4.05
Ca: 0.2500 0.3570 0.9932  3 Ca 3.62-3.97, 5 Ba 3.87-4.05
Ca: 0.7500 0.8570 0.5068  3 Ca 3.62-3.97, 5 Ba 3.87-4.05
Ca: 0.7500 0.6430 0.0068  3 Ca 3.62-3.97, 5 Ba 3.87-4.05
Ca: 0.7500 0.3737 0.8643  3 Ca 3.62-3.97, 2 Ba 3.93-3.97
Ca: 0.7500 0.1263 0.3643  3 Ca 3.62-3.97, 2 Ba 3.93-3.97
Ca: 0.2500 0.6263 0.1357  3 Ca 3.62-3.97, 2 Ba 3.93-3.97
Ca: 0.2500 0.8737 0.6357  3 Ca 3.62-3.97, 2 Ba 3.93-3.97

Values from the calculation:
Formation enthalpy at 0 K: 0.096 eV/atom
Spin magnetization: 0.000 μB per formula unit
Crystal system: orthorhombic
E above lowest polymorph: 0.0634 eV/atom


[3]
A relaxed structure of BaCa. Source: Alexandria via LeMat-Bulk, functional PBE.

Cell: 7.6369 7.6369 7.5333 Å, 90.00 90.00 90.00°
Closest atoms and distances in Å follow each position.
Fractional coordinates of all 8 atoms:
Ba: 0.1865 0.1865 0.0000  6 Ca 3.77-4.03, 1 Ba 4.03
Ba: 0.6865 0.3135 0.5000  6 Ca 3.77-4.03, 1 Ba 4.03
Ba: 0.3135 0.6865 0.5000  6 Ca 3.77-4.03, 1 Ba 4.03
Ba: 0.8135 0.8135 0.0000  6 Ca 3.77-4.03, 1 Ba 4.03
Ca: 0.3229 0.6771 0.0000  6 Ba 3.77-4.03, 1 Ca 3.83
Ca: 0.8229 0.8229 0.5000  6 Ba 3.77-4.03, 1 Ca 3.83
Ca: 0.1771 0.1771 0.5000  6 Ba 3.77-4.03, 1 Ca 3.83
Ca: 0.6771 0.3229 0.0000  6 Ba 3.77-4.03, 1 Ca 3.83

Values from the calculation:
Formation enthalpy at 0 K: 0.303 eV/atom
Spin magnetization: 0.000 μB per formula unit
Crystal system: tetragonal
E above lowest polymorph: 0.2810 eV/atom